No. 1
Here is a relaxed Tb2Y7Er crystal from the Alexandria database. Energies are from PBE-GGA.

Geometry as CIF:
```
data_Tb2Y7Er
_symmetry_space_group_name_H-M 'C m m m'
_symmetry_Int_Tables_number 65
_symmetry_space_group_name_Hall '-C 2 2'
_cell_length_a 8.770
_cell_length_b 16.207
_cell_length_c 5.557
_cell_angle_alpha 90.00
_cell_angle_beta 90.00
_cell_angle_gamma 90.00
loop_
_atom_site_label
_atom_site_type_symbol
_atom_site_fract_x
_atom_site_fract_y
_atom_site_fract_z
Tb1 Tb 0.000 0.204 0.000
Y1 Y 0.000 0.000 0.000
Y2 Y 0.000 0.285 0.500
Y3 Y 0.177 0.387 0.000
Er1 Er 0.000 0.500 0.500
```

## Properties
Theoretical density (g/cm3): 4.66
Formation energy from the elements (eV/atom): 0.700
Raw total energy (eV per atom): -5.21

=====

No. 2
Here is a relaxed AcSmBi6 crystal from the Alexandria database. Energies are from PBE-GGA.

Geometry as CIF:
```
data_AcSmBi6
_symmetry_space_group_name_H-M 'A m m 2'
_symmetry_Int_Tables_number 38
_symmetry_space_group_name_Hall 'A 2 -2'
_cell_length_a 4.927
_cell_length_b 4.713
_cell_length_c 23.166
_cell_angle_alpha 90.00
_cell_angle_beta 90.00
_cell_angle_gamma 90.00
loop_
_atom_site_label
_atom_site_type_symbol
_atom_site_fract_x
_atom_site_fract_y
_atom_site_fract_z
Ac1 Ac 0.000 0.000 0.000
Sm1 Sm 0.500 0.000 0.348
Bi1 Bi 0.000 0.000 0.246
Bi2 Bi 0.000 0.000 0.626
Bi3 Bi 0.000 0.000 0.853
Bi4 Bi 0.500 0.000 0.111
Bi5 Bi 0.500 0.000 0.487
Bi6 Bi 0.500 0.000 0.726
```

## Properties
Theoretical density (g/cm3): 10.07
Formation energy from the elements (eV/atom): -0.375
Raw total energy (eV per atom): -4.39

=====

No. 3
Here is a relaxed K3Ba crystal from the Alexandria database. Energies are from PBE-GGA.

Geometry as CIF:
```
data_K3Ba
_symmetry_space_group_name_H-M 'R -3 m'
_symmetry_Int_Tables_number 166
_symmetry_space_group_name_Hall '-R 3 2"'
_cell_length_a 4.5811
_cell_length_b 4.5811
_cell_length_c 46.0770
_cell_angle_alpha 90.00
_cell_angle_beta 90.00
_cell_angle_gamma 120.00
loop_
_atom_site_label
_atom_site_type_symbol
_atom_site_fract_x
_atom_site_fract_y
_atom_site_fract_z
K1 K 0.0000 0.0000 0.0000
K2 K 0.0000 0.0000 0.2487
Ba1 Ba 0.0000 0.0000 0.5000
```

## Properties
Theoretical density (g/cm3): 1.51
Formation energy from the elements (eV/atom): 0.046
Raw total energy (eV per atom): -1.26

=====

Question: Which value of raw total energy does entry 2 give?
Answer: -4.39 eV per atom

=====

Copy entry 1 word for word.
Here is a relaxed Tb2Y7Er crystal from the Alexandria database. Energies are from PBE-GGA.

Geometry as CIF:
```
data_Tb2Y7Er
_symmetry_space_group_name_H-M 'C m m m'
_symmetry_Int_Tables_number 65
_symmetry_space_group_name_Hall '-C 2 2'
_cell_length_a 8.770
_cell_length_b 16.207
_cell_length_c 5.557
_cell_angle_alpha 90.00
_cell_angle_beta 90.00
_cell_angle_gamma 90.00
loop_
_atom_site_label
_atom_site_type_symbol
_atom_site_fract_x
_atom_site_fract_y
_atom_site_fract_z
Tb1 Tb 0.000 0.204 0.000
Y1 Y 0.000 0.000 0.000
Y2 Y 0.000 0.285 0.500
Y3 Y 0.177 0.387 0.000
Er1 Er 0.000 0.500 0.500
```

## Properties
Theoretical density (g/cm3): 4.66
Formation energy from the elements (eV/atom): 0.700
Raw total energy (eV per atom): -5.21